## Li4Pa3CrS8 (GGA-PBE)

Data for a relaxed Li4Pa3CrS8 crystal.

E_tot   -6.26 eV per atom
ρ   5.49 Mg/m³
M_tot   0.24 μB per formula unit
Space-group type   R-3m, No. 166

Unit cell a=7.5393 b=7.6768 c=7.5388 alpha=119.42 beta=120.00 gamma=90.00
Site moments in Bohr magnetons follow the coordinates.
Atoms (fractional coordinates):
Li1 0.5000 0.0000 0.0000  -0.01
Li2 0.5000 0.0000 0.5000  0.00
Li3 0.0000 0.0000 0.0000  0.00
Li4 0.0000 0.0000 0.5000  0.00
Pa1 0.5000 0.5000 0.0000  1.03
Pa2 0.5000 0.5000 0.5000  1.03
Pa3 0.0000 0.5000 0.5000  1.03
Cr1 0.0000 0.5000 0.0000  -3.46
S1 0.2430 0.7503 0.0073  -0.01
S2 0.2431 0.7504 0.4863  -0.01
S3 0.2435 0.2306 0.4870  -0.02
S4 0.7642 0.7503 0.0073  -0.01
S5 0.2358 0.2497 0.9927  -0.01
S6 0.7565 0.7694 0.5130  -0.02
S7 0.7569 0.2496 0.5137  -0.01
S8 0.7570 0.2497 0.9927  -0.01



## Li3Pa3CrSe8 (GGA-PBE)

Data for a relaxed Li3Pa3CrSe8 crystal.

E_tot   -5.94 eV per atom
ρ   6.42 Mg/m³
M_tot   8.00 μB per formula unit
Space-group type   R-3m, No. 166

Unit cell a=7.9443 b=7.9444 c=8.0463 alpha=119.58 beta=90.02 gamma=119.99
Site moments in Bohr magnetons follow the coordinates.
Atoms (fractional coordinates):
Li1 0.0000 0.0000 0.0000  0.00
Li2 0.0000 0.5000 0.0000  0.00
Li3 0.5000 0.5000 0.0000  0.00
Pa1 0.5000 0.0000 0.5000  1.24
Pa2 0.5000 0.5000 0.5000  1.24
Pa3 0.0000 0.5000 0.5000  1.24
Cr1 0.0000 0.0000 0.5000  3.38
Se1 0.2442 0.4883 0.2325  -0.02
Se2 0.7558 0.5117 0.7675  -0.02
Se3 0.7626 0.5252 0.2565  -0.05
Se4 0.2374 0.4748 0.7435  -0.05
Se5 0.7626 0.9939 0.2565  -0.05
Se6 0.2374 0.0061 0.7435  -0.05
Se7 0.2313 0.9939 0.2566  -0.05
Se8 0.7687 0.0061 0.7434  -0.05



## LiPaCrSn (GGA-PBE)

Data for a relaxed LiPaCrSn crystal.

E_tot   -6.23 eV per atom
Formation enthalpy at 0 K   0.03 eV/atom
ρ   9.16 Mg/m³
M_tot   2.01 μB per formula unit
Space-group type   F-43m, No. 216

Unit cell a=4.7138 b=4.7138 c=4.7138 alpha=60.00 beta=60.00 gamma=60.00
Site moments in Bohr magnetons follow the coordinates.
Atoms (fractional coordinates):
Cr1 0.0000 0.0000 0.0000  2.11
Pa1 0.7500 0.7500 0.7500  -0.20
Sn1 0.2500 0.2500 0.2500  -0.03
Li1 0.5000 0.5000 0.5000  -0.03